Record 1
Crystalline Tb2TmSbC at its relaxed geometry, computed with PBE-GGA.

Properties
total magnetization	0.000	μB per atom
total energy	-30.2	eV/cell
DOS(E_F)	2.73	states/eV/cell

abc: 4.778 4.911 4.911
angles: 90.00 90.00 90.00
Atoms (fractional coordinates):
Tb1 0.000 0.000 0.500
Tb2 0.000 0.500 0.000
Tm1 0.500 0.000 0.000
Sb1 0.500 0.500 0.500
C1 0.000 0.000 0.000

***

Record 2
Crystalline Tb3YSb2C at its relaxed geometry, computed with PBE-GGA.

Properties
total magnetization	0.000	μB per atom
total energy	-43.3	eV/cell
DOS(E_F)	6.03	states/eV/cell

abc: 4.793 4.815 8.618
angles: 106.22 106.14 90.00
Atoms (fractional coordinates):
Tb1 0.000 0.500 0.000
Tb2 0.158 0.158 0.316
Tb3 0.842 0.842 0.684
Y1 0.500 0.000 0.000
Sb1 0.642 0.642 0.284
Sb2 0.358 0.358 0.716
C1 0.000 0.000 0.000

***

Record 3
Crystalline TbY3Sb2C at its relaxed geometry, computed with PBE-GGA.

Properties
total magnetization	0.000	μB per atom
total energy	-47.0	eV/cell
DOS(E_F)	6.10	states/eV/cell

abc: 4.819 4.797 8.588
angles: 106.22 106.29 90.00
Atoms (fractional coordinates):
Tb1 0.500 0.000 0.000
Y1 0.000 0.500 0.000
Y2 0.158 0.158 0.316
Y3 0.842 0.842 0.684
Sb1 0.642 0.642 0.285
Sb2 0.358 0.358 0.715
C1 0.000 0.000 0.000

***

Record 4
Crystalline TcSbC2 at its relaxed geometry, computed with PBE-GGA.

Properties
total magnetization	0.000	μB per atom
total energy	-57.8	eV/cell
DOS(E_F)	0.80	states/eV/cell

abc: 4.918 4.918 6.126
angles: 66.33 66.33 90.00
Atoms (fractional coordinates):
Sb1 0.000 0.000 0.000
Sb2 0.750 0.250 0.500
C1 0.563 0.125 0.250
C2 0.187 0.625 0.250
C3 0.375 0.437 0.750
C4 0.875 0.813 0.750
Tc1 0.500 0.500 0.000
Tc2 0.250 0.750 0.500